First-principles (PBE-GGA) data for a relaxed structure of ScSbTe2, as listed in Alexandria.

The structure belongs to space group R3m (No. 160, hexagonal axes); the cell edges are 3.9501, 3.9501 and 27.5554 Å and the angles 90.00°, 90.00° and 120.00°. The distinct sites, in fractional coordinates, are Sc at (0.0000, 0.0000, 0.0000), Sb at (0.0000, 0.0000, 0.2523), Te at (0.0000, 0.0000, 0.5135) and Te at (0.0000, 0.0000, 0.7260).

The calculation puts the total moment at 0.00 μB/f.u. Its raw total energy is -4.54 eV/atom. As for the formation energy (no corrections): -0.3554 eV per atom. The value obtained for the theoretical density is 5.64 g/cm³.